(1)
## Tl2CoIr (PBE)

Data for an optimized crystal structure of Tl2CoIr.

Unit cell a=3.010 b=4.417 c=11.473 alpha=90.00 beta=90.00 gamma=90.00
Space group Imm2 (No. 44)
One atom of each set of equivalent atoms:
1 Tl 0.000 0.000 0.000 [2 per cell]
2 Tl 0.000 0.500 0.223 [2 per cell]
3 Co 0.000 0.500 0.717 [2 per cell]
4 Ir 0.000 0.000 0.399 [2 per cell]

Output
Volume, A^3/atom: 19.1
Formation energy, eV per atom: 0.523
Relative energy among the computed polymorphs, kJ per mole of atoms: 10.7

***

(2)
## ErPu3Tl2O12 (PBE)

Data for an optimized crystal structure of ErPu3Tl2O12.

Unit cell a=8.0235 b=8.0235 c=18.8341 alpha=90.00 beta=90.00 gamma=120.00
Space group R-3m (No. 166, hexagonal axes)
One atom of each set of equivalent atoms:
1 Er 0.0000 0.0000 0.0000 [3 per cell]
2 Pu 0.0000 0.5000 0.5000 [9 per cell]
3 Tl 0.0000 0.0000 0.3228 [6 per cell]
4 O 0.0665 0.5333 0.6000 [18 per cell]
5 O 0.0944 0.5472 0.8557 [18 per cell]

Output
Volume, A^3/atom: 19.4
Electronic total energy, eV per atom: -8.54